! GGA+U Na3VAsCO7, relaxed; values from VASP
! space group: P2_1/m
! total energy: -163.83 eV for the cell shown
&SYSTEM
  ibrav = 0, nat = 26, ntyp = 5
/
ATOMIC_SPECIES
Na 22.99 Na.upf
V 50.94 V.upf
As 74.92 As.upf
C 12.01 C.upf
O 16.00 O.upf
CELL_PARAMETERS angstrom
5.333 0.000 0.000
0.000 7.001 0.000
-0.289 0.000 9.139
ATOMIC_POSITIONS angstrom
Na 1.188 1.750 0.739
Na 1.144 3.565 6.721
Na 1.144 6.937 6.721
Na 3.900 0.064 2.418
Na 3.900 3.436 2.418
Na 3.856 5.251 8.400
V 1.079 5.251 3.079
V 3.966 1.750 6.060
As 1.422 1.750 3.788
As 3.622 5.251 5.350
C 1.539 5.251 0.498
C 3.505 1.750 8.641
O 0.336 5.251 1.006
O 0.653 1.750 5.324
O 1.008 0.401 2.788
O 1.008 3.099 2.788
O 1.439 5.251 8.361
O 1.908 5.251 5.090
O 2.548 5.251 1.335
O 2.497 1.750 7.804
O 3.136 1.750 4.049
O 3.605 1.750 0.778
O 4.036 3.902 6.351
O 4.036 6.600 6.351
O 4.391 5.251 3.814
O 4.709 1.750 8.133